[1]
# PBEsol BaLa3F, relaxed
# - formation energy without anion corrections (eV per atom) = -0.91
# - N(E_F) (states/eV/f.u.) = 5.1
data_BaLa3F
_chemical_formula_sum 'Ba1 La3 F1'
_cell_length_a 5.295
_cell_length_b 5.295
_cell_length_c 5.295
_cell_angle_alpha 90.00
_cell_angle_beta 90.00
_cell_angle_gamma 90.00
_symmetry_space_group_name_H-M 'P m -3 m'
_symmetry_Int_Tables_number 221
_symmetry_space_group_name_Hall '-P 4 2 3'
loop_
_atom_site_label
_atom_site_fract_x
_atom_site_fract_y
_atom_site_fract_z
Ba1 0.000 0.000 0.000
La1 0.000 0.500 0.500
F1 0.500 0.500 0.500

[2]
# PBEsol BaSrLa2F, relaxed
# - formation energy without anion corrections (eV per atom) = -0.90
# - N(E_F) (states/eV/f.u.) = 5.5
data_BaSrLa2F
_chemical_formula_sum 'Ba1 Sr1 La2 F1'
_cell_length_a 5.242
_cell_length_b 5.242
_cell_length_c 5.885
_cell_angle_alpha 90.00
_cell_angle_beta 90.00
_cell_angle_gamma 90.00
_symmetry_space_group_name_H-M 'P 4/m m m'
_symmetry_Int_Tables_number 123
_symmetry_space_group_name_Hall '-P 4 2'
loop_
_atom_site_label
_atom_site_fract_x
_atom_site_fract_y
_atom_site_fract_z
Ba1 0.000 0.000 0.000
Sr1 0.500 0.500 0.000
La1 0.000 0.500 0.500
F1 0.000 0.000 0.500

[3]
# PBEsol Ba2LaTcF, relaxed
# - formation energy without anion corrections (eV per atom) = -0.38
# - N(E_F) (states/eV/f.u.) = 5.1
data_Ba2LaTcF
_chemical_formula_sum 'Ba2 La1 Tc1 F1'
_cell_length_a 5.140
_cell_length_b 5.140
_cell_length_c 5.100
_cell_angle_alpha 90.00
_cell_angle_beta 90.00
_cell_angle_gamma 90.00
_symmetry_space_group_name_H-M 'P 4/m m m'
_symmetry_Int_Tables_number 123
_symmetry_space_group_name_Hall '-P 4 2'
loop_
_atom_site_label
_atom_site_fract_x
_atom_site_fract_y
_atom_site_fract_z
Ba1 0.000 0.500 0.000
La1 0.000 0.000 0.500
Tc1 0.500 0.500 0.500
F1 0.000 0.000 0.000

[4]
# PBEsol BaLiF3, relaxed
# - formation energy without anion corrections (eV per atom) = -3.52
# - N(E_F) (states/eV/f.u.) = 0.0
data_BaLiF3
_chemical_formula_sum 'Ba1 Li1 F3'
_cell_length_a 3.969
_cell_length_b 3.969
_cell_length_c 3.969
_cell_angle_alpha 90.00
_cell_angle_beta 90.00
_cell_angle_gamma 90.00
_symmetry_space_group_name_H-M 'P m -3 m'
_symmetry_Int_Tables_number 221
_symmetry_space_group_name_Hall '-P 4 2 3'
loop_
_atom_site_label
_atom_site_fract_x
_atom_site_fract_y
_atom_site_fract_z
Ba1 0.000 0.000 0.000
Li1 0.500 0.500 0.500
F1 0.000 0.500 0.500